Record 1
A relaxed RbTl3Pt crystal, computed with PBE-GGA.

Properties
**Distance to the lowest polymorph of the same formula**: 73.4 meV/atom
**Total magnetic moment**: 0.000 μB per atom
**Mass density**: 8813 kg/m³
**DFT formation energy**: -47 meV/atom

```
data_RbTl3Pt
_symmetry_space_group_name_H-M 'P 1'
_symmetry_Int_Tables_number 1
_symmetry_space_group_name_Hall 'P 1'
_cell_length_a 5.522
_cell_length_b 5.522
_cell_length_c 5.522
_cell_angle_alpha 90.00
_cell_angle_beta 90.00
_cell_angle_gamma 90.00
loop_
_atom_site_label
_atom_site_type_symbol
_atom_site_fract_x
_atom_site_fract_y
_atom_site_fract_z
Rb1 Rb 0.000 0.000 0.000
Tl1 Tl 0.000 0.500 0.500
Tl2 Tl 0.500 0.000 0.500
Tl3 Tl 0.500 0.500 0.000
Pt1 Pt 0.500 0.500 0.500
```

=====

Record 2
A relaxed MoPt2Se crystal, computed with PBE-GGA.

Properties
**Total magnetic moment**: 0.000 μB per atom
**Mass density**: 12838 kg/m³
**Raw total energy**: -6.528 eV per atom

```
data_MoPt2Se
_symmetry_space_group_name_H-M 'P 1'
_symmetry_Int_Tables_number 1
_symmetry_space_group_name_Hall 'P 1'
_cell_length_a 6.666
_cell_length_b 6.666
_cell_length_c 6.666
_cell_angle_alpha 155.85
_cell_angle_beta 142.80
_cell_angle_gamma 44.84
loop_
_atom_site_label
_atom_site_type_symbol
_atom_site_fract_x
_atom_site_fract_y
_atom_site_fract_z
Mo1 Mo 0.000 0.000 0.000
Pt1 Pt 0.205 0.705 0.500
Pt2 Pt 0.569 0.569 0.000
Se1 Se 0.824 0.324 0.500
```

=====

Record 3
A relaxed Pm2Y3Ho3 crystal, computed with PBE-GGA.

Properties
**Distance to the lowest polymorph of the same formula**: 135.2 meV/atom
**Total magnetic moment**: 0.000 μB per atom
**Mass density**: 6595 kg/m³
**DFT formation energy**: 138 meV/atom

```
data_Pm2Y3Ho3
_symmetry_space_group_name_H-M 'P 1'
_symmetry_Int_Tables_number 1
_symmetry_space_group_name_Hall 'P 1'
_cell_length_a 6.570
_cell_length_b 6.570
_cell_length_c 15.969
_cell_angle_alpha 90.00
_cell_angle_beta 90.00
_cell_angle_gamma 129.81
loop_
_atom_site_label
_atom_site_type_symbol
_atom_site_fract_x
_atom_site_fract_y
_atom_site_fract_z
Pm1 Pm 0.219 0.781 0.629
Pm2 Pm 0.219 0.781 0.871
Pm3 Pm 0.781 0.219 0.129
Pm4 Pm 0.781 0.219 0.371
Y1 Y 0.383 0.617 0.050
Y2 Y 0.383 0.617 0.450
Y3 Y 0.460 0.540 0.750
Y4 Y 0.540 0.460 0.250
Y5 Y 0.617 0.383 0.550
Y6 Y 0.617 0.383 0.950
Ho1 Ho 0.081 0.919 0.090
Ho2 Ho 0.081 0.919 0.410
Ho3 Ho 0.261 0.739 0.250
Ho4 Ho 0.739 0.261 0.750
Ho5 Ho 0.919 0.081 0.590
Ho6 Ho 0.919 0.081 0.910
```

=====

Record 4
A relaxed Rb3MgMn2Cl9 crystal, computed with PBE-GGA.

Properties
**Total magnetic moment**: 0.667 μB per atom
**Mass density**: 2994 kg/m³
**Raw total energy**: -4.233 eV per atom

```
data_Rb3MgMn2Cl9
_symmetry_space_group_name_H-M 'P 1'
_symmetry_Int_Tables_number 1
_symmetry_space_group_name_Hall 'P 1'
_cell_length_a 7.186
_cell_length_b 7.186
_cell_length_c 8.801
_cell_angle_alpha 90.00
_cell_angle_beta 90.00
_cell_angle_gamma 120.00
loop_
_atom_site_label
_atom_site_type_symbol
_atom_site_fract_x
_atom_site_fract_y
_atom_site_fract_z
Rb1 Rb 0.000 0.000 0.000
Rb2 Rb 0.333 0.667 0.668
Rb3 Rb 0.667 0.333 0.332
Mg1 Mg 0.000 0.000 0.500
Mn1 Mn 0.333 0.667 0.168
Mn2 Mn 0.667 0.333 0.832
Cl1 Cl 0.000 0.500 0.000
Cl2 Cl 0.166 0.333 0.334
Cl3 Cl 0.166 0.834 0.334
Cl4 Cl 0.333 0.166 0.666
Cl5 Cl 0.500 0.000 0.000
Cl6 Cl 0.500 0.500 0.000
Cl7 Cl 0.667 0.834 0.334
Cl8 Cl 0.834 0.166 0.666
Cl9 Cl 0.834 0.667 0.666
```

=====

The evaluated volume for the records listed, in turn: 168.38; 73.09; 529.51; 393.62 Å³/cell.